# 1
PBE CuNiHRuCSe, optimized geometry; crystal system = monoclinic; magnetic moment = 0.00 μB/f.u.; space-group type = Cm, No. 8; theoretical density = 7209 kg/m3; energy relative to the lowest polymorph listed for this composition = 0.000 eV per atom; energy = -5.675 eV per atom
1.0
-0.758 0.337 3.293
2.870 -1.794 0.844
6.929 10.213 -1.855
Cu Ni H Ru C Se
2 2 2 2 2 2
direct
0.368 0.000 0.449
0.368 0.500 0.949
0.808 0.000 0.885
0.808 0.500 0.385
0.158 0.000 0.627
0.158 0.500 0.127
0.168 0.000 0.097
0.168 0.500 0.597
0.608 0.000 0.015
0.608 0.500 0.515
0.765 0.000 0.261
0.765 0.500 0.761

# 2
PBE CuNiHRuCSe, optimized geometry; crystal system = triclinic; magnetic moment = 0.00 μB/f.u.; space-group type = P1, No. 1; theoretical density = 7175 kg/m3; energy relative to the lowest polymorph listed for this composition = 0.106 eV per atom; energy = -5.569 eV per atom
1.0
-2.036 2.437 1.076
-3.253 -3.169 1.619
0.094 -0.991 5.012
Cu Ni H Ru C Se
1 1 1 1 1 1
direct
0.447 0.553 0.262
0.601 0.976 0.423
0.733 0.264 0.477
0.010 0.059 0.868
0.459 0.018 0.077
0.043 0.630 0.724

# 3
PBE CuHCO4, optimized geometry; crystal system = hexagonal; magnetic moment = 0.00 μB/f.u.; space-group type = P6_3/m, No. 176; theoretical density = 2242 kg/m3; energy = -6.129 eV per atom
1.0
-4.437 -3.208 9.198
5.763 -6.871 -5.845
5.199 1.718 3.107
Cu H C O
6 6 6 24
direct
0.000 0.500 0.500
0.000 0.500 0.000
0.500 0.500 0.500
0.500 0.500 0.000
0.500 0.000 0.500
0.500 0.000 0.000
0.171 0.637 0.750
0.465 0.829 0.750
0.363 0.535 0.750
0.637 0.465 0.250
0.535 0.171 0.250
0.829 0.363 0.250
0.187 0.751 0.250
0.249 0.435 0.250
0.565 0.813 0.250
0.435 0.187 0.750
0.751 0.565 0.750
0.813 0.249 0.750
0.135 0.691 0.434
0.135 0.691 0.066
0.293 0.878 0.250
0.109 0.531 0.750
0.122 0.415 0.250
0.421 0.891 0.750
0.309 0.444 0.434
0.309 0.444 0.066
0.556 0.865 0.066
0.556 0.865 0.434
0.469 0.579 0.750
0.585 0.707 0.250
0.415 0.293 0.750
0.531 0.421 0.250
0.444 0.135 0.566
0.444 0.135 0.934
0.691 0.556 0.934
0.691 0.556 0.566
0.579 0.109 0.250
0.878 0.585 0.750
0.891 0.469 0.250
0.707 0.122 0.750
0.865 0.309 0.934
0.865 0.309 0.566

# 4
PBE Cu2H4CO5, optimized geometry; crystal system = monoclinic; magnetic moment = 1.78 μB/f.u.; space-group type = P2_1, No. 4; theoretical density = 3196 kg/m3; energy = -5.428 eV per atom
1.0
-1.443 -5.932 -0.315
1.240 -0.600 5.605
-5.695 1.176 3.939
Cu H C O
4 8 2 10
direct
0.959 0.004 0.005
0.459 0.996 0.995
0.210 0.501 0.002
0.710 0.499 0.998
0.230 0.571 0.580
0.730 0.429 0.420
0.198 0.133 0.708
0.698 0.867 0.292
0.947 0.837 0.736
0.447 0.163 0.264
0.949 0.203 0.276
0.449 0.797 0.724
0.283 0.731 0.446
0.783 0.269 0.554
0.227 0.735 0.272
0.727 0.265 0.728
0.210 0.162 0.837
0.710 0.838 0.163
0.401 0.895 0.484
0.901 0.105 0.516
0.959 0.733 0.884
0.459 0.267 0.116
0.960 0.273 0.121
0.460 0.727 0.879

# 5
PBE CuH10C2O8, optimized geometry; crystal system = monoclinic; magnetic moment = 0.99 μB/f.u.; space-group type = P2_1/c, No. 14; theoretical density = 1810 kg/m3; energy = -5.506 eV per atom
1.0
8.174 0.000 0.000
0.000 8.044 -0.010
0.000 5.821 12.588
Cu H C O
4 40 8 32
direct
0.500 0.000 0.500
0.000 0.000 0.000
0.500 0.500 0.000
0.000 0.500 0.500
0.032 0.783 0.232
0.724 0.254 0.772
0.702 0.835 0.955
0.891 0.516 0.287
0.204 0.670 0.045
0.700 0.687 0.794
0.798 0.835 0.455
0.391 0.484 0.213
0.296 0.670 0.545
0.796 0.330 0.955
0.202 0.165 0.545
0.333 0.584 0.334
0.384 0.976 0.711
0.833 0.416 0.166
0.224 0.746 0.728
0.676 0.914 0.174
0.960 0.778 0.751
0.968 0.217 0.768
0.468 0.783 0.732
0.324 0.086 0.826
0.176 0.086 0.326
0.167 0.584 0.834
0.540 0.778 0.251
0.776 0.254 0.272
0.609 0.516 0.787
0.300 0.313 0.206
0.276 0.746 0.228
0.824 0.914 0.674
0.040 0.222 0.249
0.109 0.484 0.713
0.200 0.313 0.706
0.616 0.024 0.289
0.667 0.416 0.666
0.460 0.222 0.749
0.116 0.976 0.211
0.298 0.165 0.045
0.532 0.217 0.268
0.800 0.687 0.294
0.884 0.024 0.789
0.704 0.330 0.455
0.278 0.279 0.491
0.722 0.721 0.509
0.278 0.783 0.988
0.222 0.783 0.488
0.778 0.217 0.512
0.778 0.721 0.009
0.722 0.217 0.012
0.222 0.279 0.991
0.904 0.614 0.312
0.219 0.441 0.456
0.369 0.657 0.260
0.283 0.944 0.450
0.419 0.751 0.962
0.419 0.249 0.465
0.581 0.751 0.535
0.919 0.751 0.035
0.613 0.123 0.315
0.855 0.845 0.749
0.717 0.056 0.550
0.869 0.343 0.240
0.081 0.249 0.965
0.145 0.155 0.251
0.581 0.249 0.038
0.781 0.559 0.544
0.387 0.877 0.685
0.081 0.751 0.462
0.783 0.056 0.050
0.719 0.559 0.044
0.631 0.343 0.740
0.281 0.441 0.956
0.645 0.845 0.249
0.131 0.657 0.760
0.096 0.386 0.688
0.596 0.614 0.812
0.887 0.123 0.815
0.355 0.155 0.751
0.217 0.944 0.950
0.404 0.386 0.188
0.919 0.249 0.538
0.113 0.877 0.185

# 6
PBE TlCuHCO4, optimized geometry; crystal system = hexagonal; magnetic moment = 1.00 μB/f.u.; space-group type = P6_3/m, No. 176; theoretical density = 4886 kg/m3; energy = -5.863 eV per atom
1.0
-7.465 -8.904 0.243
8.833 -0.026 -7.554
3.458 -2.789 4.053
Tl Cu H C O
6 6 6 6 24
direct
0.860 0.707 0.250
0.847 0.140 0.250
0.293 0.153 0.250
0.140 0.293 0.750
0.153 0.860 0.750
0.707 0.847 0.750
0.500 0.500 0.500
0.000 0.500 0.500
0.500 0.000 0.500
0.500 0.500 0.000
0.000 0.500 0.000
0.500 0.000 0.000
0.814 0.409 0.250
0.596 0.186 0.250
0.591 0.404 0.250
0.186 0.591 0.750
0.404 0.814 0.750
0.409 0.596 0.750
0.176 0.752 0.250
0.575 0.824 0.250
0.248 0.425 0.250
0.824 0.248 0.750
0.425 0.176 0.750
0.752 0.575 0.750
0.893 0.497 0.250
0.604 0.107 0.250
0.503 0.396 0.250
0.107 0.503 0.750
0.396 0.893 0.750
0.497 0.604 0.750
0.136 0.687 0.440
0.551 0.864 0.440
0.313 0.449 0.440
0.864 0.313 0.940
0.449 0.136 0.940
0.687 0.551 0.940
0.864 0.313 0.560
0.449 0.136 0.560
0.687 0.551 0.560
0.136 0.687 0.060
0.551 0.864 0.060
0.313 0.449 0.060
0.252 0.877 0.250
0.624 0.748 0.250
0.123 0.376 0.250
0.748 0.123 0.750
0.376 0.252 0.750
0.877 0.624 0.750

Among the records above, which one has the lowest theoretical density?
CuH10C2O8